Entry 1:
Crystalline ThTiGaIr2 at its relaxed geometry. Source: Alexandria, functional GGA-PBE.

Lattice parameters (Å, degrees): 4.021 4.021 6.607 107.72 107.72 90.00
Sites, in units of the cell vectors:
1 Ir 0.612 0.612 0.224
2 Ir 0.388 0.388 0.776
3 Ti 0.750 0.250 0.500
4 Ga 0.250 0.750 0.500
5 Th 0.000 0.000 0.000

Results
**E_form**: -821 meV per atom
**Density of states at the Fermi level**: 4.7 states/eV/cell
**Total magnetic moment**: 0.00 μB/f.u.
**Symmetry**: I-4m2 (119)

Entry 2:
Crystalline RbCu3Mo at its relaxed geometry. Source: Alexandria, functional GGA-PBE.

Lattice parameters (Å, degrees): 4.924 4.924 4.924 90.00 90.00 90.00
Sites, in units of the cell vectors:
1 Cu 0.000 0.500 0.000
2 Cu 0.500 0.000 0.000
3 Cu 0.000 0.000 0.500
4 Mo 0.000 0.000 0.000
5 Rb 0.500 0.500 0.500

Results
**E_form**: 1128 meV per atom
**Density of states at the Fermi level**: 5.4 states/eV/cell
**Energy relative to the lowest polymorph listed for this composition**: 0 meV per atom
**Total magnetic moment**: 0.00 μB/f.u.
**Symmetry**: Pm-3m (221)